Entry 1:
A relaxed CaGaP crystal, computed with GGA-PBE.

Unit cell a=7.703 b=7.703 c=7.703 alpha=148.38 beta=143.44 gamma=49.10
Positions (direct):
Ca1 0.154 0.154 0.000
Ca2 0.846 0.846 0.000
Ga1 0.238 0.500 0.738
Ga2 0.762 0.500 0.262
P1 0.355 0.355 0.000
P2 0.645 0.645 0.000

Output
The calculation puts the distance to the lowest polymorph of the same formula at 0.2512 eV/atom. As for the symmetry: No. 71.

***

Entry 2:
A relaxed La3TePbCl crystal, computed with GGA-PBE.

Unit cell a=9.005 b=4.615 c=10.184 alpha=90.00 beta=104.41 gamma=90.00
Positions (direct):
La1 0.089 0.250 0.339
La2 0.247 0.250 0.003
La3 0.410 0.750 0.629
La4 0.590 0.250 0.371
La5 0.753 0.750 0.997
La6 0.911 0.750 0.661
Te1 0.162 0.250 0.662
Te2 0.838 0.750 0.338
Pb1 0.316 0.750 0.270
Pb2 0.684 0.250 0.730
Cl1 0.401 0.750 0.913
Cl2 0.599 0.250 0.087

Output
As for the symmetry: No. 11. Its raw formation energy is -1.197 eV per atom.

***

Entry 3:
A relaxed Sn3BSe crystal, computed with GGA-PBE.

Unit cell a=4.911 b=4.911 c=4.911 alpha=90.00 beta=90.00 gamma=90.00
Positions (direct):
Sn1 0.000 0.000 0.500
Sn2 0.000 0.500 0.000
Sn3 0.500 0.000 0.000
B1 0.000 0.000 0.000
Se1 0.500 0.500 0.500

Output
The calculation puts the distance to the lowest polymorph of the same formula at 0.0000 eV/atom. As for the symmetry: No. 221. Its raw formation energy is 0.472 eV per atom.

***

Entry 4:
A relaxed Tb2TmMgS4 crystal, computed with GGA-PBE.

Unit cell a=6.658 b=3.814 c=6.757 alpha=90.00 beta=108.93 gamma=90.00
Positions (direct):
Tb1 0.000 0.000 0.000
Tb2 0.500 0.500 0.000
Tm1 0.000 0.500 0.500
Mg1 0.500 0.000 0.500
S1 0.254 0.000 0.735
S2 0.264 0.500 0.270
S3 0.736 0.500 0.730
S4 0.746 0.000 0.265

Output
As for the symmetry: No. 10. Its raw formation energy is -1.785 eV per atom.

***

Entry 5:
A relaxed K4PmNp3O12 crystal, computed with GGA-PBE.

Unit cell a=7.498 b=7.498 c=7.498 alpha=109.47 beta=109.47 gamma=109.47
Positions (direct):
K1 0.000 0.000 0.500
K2 0.000 0.500 0.000
K3 0.500 0.000 0.000
K4 0.500 0.500 0.500
Pm1 0.000 0.000 0.000
Np1 0.000 0.500 0.500
Np2 0.500 0.000 0.500
Np3 0.500 0.500 0.000
O1 0.000 0.269 0.269
O2 0.000 0.731 0.731
O3 0.250 0.500 0.750
O4 0.250 0.750 0.500
O5 0.269 0.000 0.269
O6 0.269 0.269 0.000
O7 0.500 0.250 0.750
O8 0.500 0.750 0.250
O9 0.731 0.000 0.731
O10 0.731 0.731 0.000
O11 0.750 0.250 0.500
O12 0.750 0.500 0.250

Output
As for the symmetry: No. 229. Its raw formation energy is -2.714 eV per atom.

***

Entry 6:
A relaxed AgAuSe crystal, computed with GGA-PBE.

Unit cell a=4.957 b=4.957 c=7.459 alpha=93.70 beta=93.70 gamma=61.82
Positions (direct):
Ag1 0.196 0.804 0.500
Ag2 0.804 0.196 0.000
Au1 0.310 0.312 0.231
Au2 0.312 0.310 0.731
Se1 0.606 0.981 0.479
Se2 0.981 0.606 0.979

Output
As for the symmetry: No. 9. Its raw formation energy is -0.065 eV per atom.